A plane-wave DFT calculation with GGA-PBE was carried out for a geometry-optimized ZnRe2Ru structure.

Calculated formation energy: 3.66 kcal/mol of atoms
VASP energy: -8.703 eV per atom
DOS at the Fermi energy: 3.2 states/eV/cell

The structure in CIF format:
```
data_ZnRe2Ru
_chemical_formula_sum 'Zn1 Re2 Ru1'
_cell_length_a 2.734
_cell_length_b 4.018
_cell_length_c 5.245
_cell_angle_alpha 90.00
_cell_angle_beta 90.00
_cell_angle_gamma 90.00
_symmetry_space_group_name_H-M 'P m m m'
_symmetry_Int_Tables_number 47
loop_
_symmetry_equiv_pos_as_xyz
'x,y,z'
'-x,-y,-z'
'-x,-y,z'
'x,y,-z'
'x,-y,-z'
'-x,y,z'
'-x,y,-z'
'x,-y,z'
loop_
_atom_site_label
_atom_site_fract_x
_atom_site_fract_y
_atom_site_fract_z
Zn1 0.000 0.000 0.000
Re1 0.500 0.500 0.244
Ru1 0.000 0.000 0.500
```